# HgMo2F8 (GGA+U, optimized geometry)
# Total energy = -4.79 eV per atom
# Calculated density = 5.2 g cm⁻³
data_HgMo2F8
_chemical_formula_sum 'Hg1 Mo2 F8'
_symmetry_space_group_name_H-M 'P -1'
_symmetry_Int_Tables_number 2
_symmetry_space_group_name_Hall '-P 1'
_cell_length_a 4.3607
_cell_length_b 6.5047
_cell_length_c 6.5260
_cell_angle_alpha 71.16
_cell_angle_beta 89.64
_cell_angle_gamma 89.78
loop_
_atom_site_label
_atom_site_type_symbol
_atom_site_fract_x
_atom_site_fract_y
_atom_site_fract_z
Hg1 Hg 0.0000 0.0000 0.0000
Mo1 Mo 0.2473 0.3745 0.3752
F1 F 0.2391 0.1143 0.6559
F2 F 0.2409 0.6573 0.1172
F3 F 0.2511 0.5869 0.5871
F4 F 0.2731 0.1857 0.1838